Entry from OQMD: a geometry-optimized GdPuPb structure (PBE-GGA).

Results
- Energy relative to the lowest polymorph listed for this composition: 0.00 eV per formula unit
- VASP energy: -22.53 eV/f.u.
- Symmetry: F-43m (216)

abc: 5.2784 5.2784 5.2784
angles: 60.00 60.00 60.00
Last column: nearest neighbours and their distance in Å.
Positions (direct):
Pb 0.7500 0.7500 0.7500  4 Gd 3.23, 4 Pu 3.23
Pu 0.5000 0.5000 0.5000  4 Pb 3.23
Gd 0.0000 0.0000 0.0000  4 Pb 3.23

Entry from OQMD: a geometry-optimized NaCuPtW structure (PBE-GGA).

Results
- Energy relative to the lowest polymorph listed for this composition: 0.06 eV per formula unit
- VASP energy: -22.21 eV/f.u.
- Symmetry: F-43m (216)

abc: 4.3903 4.3903 4.3903
angles: 60.00 60.00 60.00
Last column: nearest neighbours and their distance in Å.
Positions (direct):
Pt 0.2500 0.2500 0.2500  4 Cu 2.69, 4 W 2.69
Na 0.7500 0.7500 0.7500  4 W 2.69, 4 Cu 2.69
W 0.0000 0.0000 0.0000  4 Na 2.69, 4 Pt 2.69
Cu 0.5000 0.5000 0.5000  4 Pt 2.69, 4 Na 2.69

Entry from OQMD: a geometry-optimized TbNdZn2Sn2 structure (PBE-GGA).

Results
- Energy relative to the lowest polymorph listed for this composition: 0.00 eV per formula unit
- VASP energy: -23.71 eV/f.u.
- Symmetry: P6_3/mmc (194)

abc: 4.5400 4.5400 16.2568
angles: 90.00 90.00 120.00
Last column: nearest neighbours and their distance in Å.
Positions (direct):
Zn 0.6667 0.3333 0.3387  3 Sn 2.72, 1 Zn 2.89, 3 Tb 2.99
Zn 0.6667 0.3333 0.1613  3 Sn 2.72, 1 Zn 2.89, 3 Tb 2.99
Zn 0.3333 0.6667 0.6613  3 Sn 2.72, 1 Zn 2.89, 3 Tb 2.99
Zn 0.3333 0.6667 0.8387  3 Sn 2.72, 1 Zn 2.89, 3 Tb 2.99
Tb 0.0000 0.0000 0.7500  6 Zn 2.99
Tb 0.0000 0.0000 0.2500  6 Zn 2.99
Nd 0.0000 0.0000 0.0000  6 Sn 3.24
Nd 0.0000 0.0000 0.5000  6 Sn 3.24
Sn 0.3333 0.6667 0.3824  3 Zn 2.72
Sn 0.6667 0.3333 0.6176  3 Zn 2.72
Sn 0.3333 0.6667 0.1176  3 Zn 2.72
Sn 0.6667 0.3333 0.8824  3 Zn 2.72